(1)
The following is a DFT calculation (meta-GGA SCAN) of a crystal of ScCuPd2 relaxed with PBEsol.

## Properties
The density of states at the Fermi level comes out at 8.792 states/eV/cell. The calculation puts the uncorrected energy at -1.7945 Ry/atom.

abc: 6.2019 6.2019 6.2019
angles: 90.00 90.00 90.00
Space group Fm-3m (No. 225)
Unique sites:
Sc: 0.0000 0.0000 0.0000 (multiplicity 4)
Cu: 0.0000 0.0000 0.5000 (multiplicity 4)
Pd: 0.2500 0.2500 0.2500 (multiplicity 8)

---

(2)
The following is a DFT calculation (meta-GGA SCAN) of a crystal of TcOs2W relaxed with PBEsol.

## Properties
The density of states at the Fermi level comes out at 8.209 states/eV/cell. The value obtained for the energy above the most stable polymorph in this dataset is 152.5 kJ/mol of formula units.

abc: 5.3434 9.0028 2.6785
angles: 90.00 114.88 90.00
Space group C2/m (No. 12)
Unique sites:
Tc: 0.0000 0.0000 0.0000 (multiplicity 2)
Os: 0.2500 0.2500 0.5000 (multiplicity 4)
W: 0.0000 0.5000 0.0000 (multiplicity 2)

---

(3)
The following is a DFT calculation (meta-GGA SCAN) of a crystal of TlCo2Cu relaxed with PBEsol.

## Properties
The density of states at the Fermi level comes out at 2.568 states/eV/cell. The calculation puts the uncorrected energy at -2.2107 Ry/atom.

abc: 3.7596 3.7596 3.7581
angles: 90.00 90.00 90.00
Space group P4/mmm (No. 123)
Unique sites:
Tl: 0.0000 0.0000 0.0000 (multiplicity 1)
Co: 0.0000 0.5000 0.5000 (multiplicity 2)
Cu: 0.5000 0.5000 0.0000 (multiplicity 1)

---

(4)
The following is a DFT calculation (meta-GGA SCAN) of a crystal of EuInPt relaxed with PBEsol.

## Properties
The density of states at the Fermi level comes out at 29.692 states/eV/cell. The calculation puts the uncorrected energy at -3.9272 Ry/atom.

abc: 7.2511 4.4232 8.3840
angles: 90.00 90.00 90.00
Space group Pnma (No. 62)
Unique sites:
Eu: 0.0338 0.2500 0.1792 (multiplicity 4)
In: 0.1466 0.2500 0.5641 (multiplicity 4)
Pt: 0.2352 0.7500 0.3772 (multiplicity 4)

---

(5)
The following is a DFT calculation (meta-GGA SCAN) of a crystal of CrBiTe2 relaxed with PBEsol.

## Properties
The density of states at the Fermi level comes out at 3.097 states/eV/cell. For the uncorrected formation energy, the calculation gives -0.92 eV per formula unit.

abc: 3.7374 3.7374 27.8592
angles: 90.00 90.00 120.00
Space group R-3m (No. 166, hexagonal axes)
Unique sites:
Cr: 0.0000 0.0000 0.0000 (multiplicity 3)
Bi: 0.0000 0.0000 0.5000 (multiplicity 3)
Te: 0.0000 0.0000 0.3886 (multiplicity 6)

---

(6)
The following is a DFT calculation (meta-GGA SCAN) of a crystal of ScNi2Mo relaxed with PBEsol.

## Properties
The density of states at the Fermi level comes out at 14.360 states/eV/cell. The value obtained for the energy above the most stable polymorph in this dataset is 34.4 kJ/mol of formula units.

abc: 5.9823 5.9823 5.9823
angles: 90.00 90.00 90.00
Space group F-43m (No. 216)
Unique sites:
Sc: 0.0000 0.0000 0.0000 (multiplicity 4)
Ni: 0.0000 0.0000 0.5000 (multiplicity 4)
Ni: 0.2500 0.2500 0.7500 (multiplicity 4)
Mo: 0.2500 0.2500 0.2500 (multiplicity 4)